Record 1
Below is a relaxed BeSbF crystal, with properties calculated at the GGA-PBE level.

Lattice parameters (Å, degrees): 11.928 3.812 3.812 60.06 90.00 90.00
Positions (direct):
Be (0.000, 0.000, 0.000)
Be (0.500, 0.006, 0.006)
Sb (0.384, 0.339, 0.339)
Sb (0.616, 0.339, 0.339)
F (0.116, 0.000, 0.000)
F (0.884, 0.000, 0.000)

=====

Record 2
Below is a relaxed BeSbF3 crystal, with properties calculated at the GGA-PBE level.

Lattice parameters (Å, degrees): 3.916 3.916 3.916 90.00 90.00 90.00
Positions (direct):
Be (0.000, 0.000, 0.000)
Sb (0.500, 0.500, 0.500)
F (0.000, 0.000, 0.500)
F (0.000, 0.500, 0.000)
F (0.500, 0.000, 0.000)

- Distance to the lowest polymorph of the same formula: 0 meV/atom

=====

Record 3
Below is a relaxed BeSb3F crystal, with properties calculated at the GGA-PBE level.

Lattice parameters (Å, degrees): 4.841 4.841 4.841 90.00 90.00 90.00
Positions (direct):
Be (0.000, 0.000, 0.000)
Sb (0.000, 0.000, 0.500)
Sb (0.000, 0.500, 0.000)
Sb (0.500, 0.000, 0.000)
F (0.500, 0.500, 0.500)

- Distance to the lowest polymorph of the same formula: 0 meV/atom

=====

Record 4
Below is a relaxed BeSbF3 crystal, with properties calculated at the GGA-PBE level.

Lattice parameters (Å, degrees): 4.496 4.496 4.496 90.00 90.00 90.00
Positions (direct):
Be (0.000, 0.000, 0.000)
Sb (0.500, 0.500, 0.500)
F (0.000, 0.500, 0.500)
F (0.500, 0.000, 0.500)
F (0.500, 0.500, 0.000)

- Distance to the lowest polymorph of the same formula: 509 meV/atom

=====

Computed values of energy relative to the elements, uncorrected (unit: eV/atom) for the preceding records, in sequence: -1.13, -1.56, 0.10, -1.05.